Record 1
Below is an optimized crystal structure of KFeTeAuSe2, with properties calculated at the PBE level.

Properties
* space-group type: Cmcm, No. 63

```
KFeTeAuSe2
1.0
1.828 -8.172 0.000
1.828 8.172 0.000
0.000 0.000 10.399
K Fe Te Au Se
2 2 2 2 4
direct
0.249 0.751 0.750 K
0.751 0.249 0.250 K
0.000 0.000 0.000 Fe
0.000 0.000 0.500 Fe
0.060 0.940 0.250 Te
0.940 0.060 0.750 Te
0.417 0.583 0.250 Au
0.583 0.417 0.750 Au
0.401 0.599 0.013 Se
0.401 0.599 0.487 Se
0.599 0.401 0.513 Se
0.599 0.401 0.987 Se
```



Record 2
Below is an optimized crystal structure of NiIrPd, with properties calculated at the PBE level.

Properties
* space-group type: F-43m, No. 216
* calculated formation energy: 47.4 kJ per mole of atoms

```
NiIrPd
1.0
0.000 2.847 2.847
2.847 0.000 2.847
2.847 2.847 0.000
Ni Ir Pd
1 1 1
direct
0.000 0.000 0.000 Ni
0.750 0.750 0.750 Ir
0.250 0.250 0.250 Pd
```



Record 3
Below is an optimized crystal structure of Zr3ScTe2C2, with properties calculated at the PBE level.

Properties
* space-group type: P3m1, No. 156

```
Zr3ScTe2C2
1.0
3.553 0.000 0.000
-1.776 3.077 0.000
0.000 0.000 13.361
Zr Sc Te C
3 1 2 2
direct
0.000 0.000 0.000 Zr
0.000 0.000 0.323 Zr
0.333 0.667 0.501 Zr
0.333 0.667 0.822 Sc
0.000 0.000 0.661 Te
0.333 0.667 0.162 Te
0.667 0.333 0.412 C
0.667 0.333 0.912 C
```



Record 4
Below is an optimized crystal structure of LiNbTe, with properties calculated at the PBE level.

Properties
* space-group type: F-43m, No. 216

```
LiNbTe
1.0
0.000 3.205 3.205
3.205 0.000 3.205
3.205 3.205 0.000
Li Nb Te
1 1 1
direct
0.000 0.000 0.000 Li
0.500 0.500 0.500 Nb
0.250 0.250 0.250 Te
```



Record 5
Below is an optimized crystal structure of LuCoGeAu, with properties calculated at the PBE level.

Properties
* space-group type: F-43m, No. 216

```
LuCoGeAu
1.0
0.000 3.268 3.268
3.268 0.000 3.268
3.268 3.268 0.000
Lu Co Ge Au
1 1 1 1
direct
0.000 0.000 0.000 Lu
0.750 0.750 0.750 Co
0.500 0.500 0.500 Ge
0.250 0.250 0.250 Au
```



Record 6
Below is an optimized crystal structure of Lu4NiAsN2, with properties calculated at the PBE level.

Properties
* space-group type: P-6m2, No. 187

```
Lu4NiAsN2
1.0
3.428 0.000 0.000
-1.714 2.969 0.000
0.000 0.000 13.337
Lu Ni As N
4 1 1 2
direct
0.000 0.000 0.142 Lu
0.000 0.000 0.858 Lu
0.667 0.333 0.343 Lu
0.667 0.333 0.657 Lu
0.667 0.333 0.000 Ni
0.000 0.000 0.500 As
0.333 0.667 0.255 N
0.333 0.667 0.745 N
```



Record 7
Below is an optimized crystal structure of Cs2CuHgBr6, with properties calculated at the PBE level.

Properties
* space-group type: Fm-3m, No. 225

```
Cs2CuHgBr6
1.0
0.000 5.457 5.457
5.457 0.000 5.457
5.457 5.457 0.000
Cs Cu Hg Br
2 1 1 6
direct
0.250 0.250 0.250 Cs
0.750 0.750 0.750 Cs
0.000 0.000 0.000 Cu
0.500 0.500 0.500 Hg
0.239 0.239 0.761 Br
0.239 0.761 0.239 Br
0.239 0.761 0.761 Br
0.761 0.239 0.239 Br
0.761 0.239 0.761 Br
0.761 0.761 0.239 Br
```



Record 8
Below is an optimized crystal structure of ErBePb, with properties calculated at the PBE level.

Properties
* space-group type: F-43m, No. 216

```
ErBePb
1.0
0.000 3.422 3.422
3.422 0.000 3.422
3.422 3.422 0.000
Er Be Pb
1 1 1
direct
0.000 0.000 0.000 Er
0.750 0.750 0.750 Be
0.250 0.250 0.250 Pb
```



Here are the calculated calculated total energy numbers, same order: -48.89; -18.12; -63.82; -14.75; -20.47; -54.23; -25.00; -10.52 (eV for the cell shown).